Entry from the Alexandria database: an optimized crystal structure of MgCrOs2 (PBE).

abc: 6.105 6.105 6.105
angles: 90.00 90.00 90.00
Positions (direct):
Mg 0.000 0.000 0.000
Mg 0.000 0.500 0.500
Mg 0.500 0.000 0.500
Mg 0.500 0.500 0.000
Cr 0.250 0.250 0.750
Cr 0.250 0.750 0.250
Cr 0.750 0.250 0.250
Cr 0.750 0.750 0.750
Os 0.000 0.000 0.500
Os 0.000 0.500 0.000
Os 0.250 0.250 0.250
Os 0.250 0.750 0.750
Os 0.500 0.000 0.000
Os 0.500 0.500 0.500
Os 0.750 0.250 0.750
Os 0.750 0.750 0.250

energy of formation from the pure elements: 1.5 eV per formula unit
raw total energy: -32.2 eV per formula unit
spin magnetization: 1.055 μB per formula unit

***

Entry from the Alexandria database: an optimized crystal structure of KSm3Dy2Te6 (PBE).

abc: 10.003 10.003 9.054
angles: 103.26 103.26 25.55
Positions (direct):
K 0.000 0.000 0.000
Sm 0.000 0.000 0.500
Sm 0.341 0.341 0.183
Sm 0.659 0.659 0.817
Dy 0.333 0.333 0.659
Dy 0.667 0.667 0.341
Te 0.168 0.168 0.578
Te 0.174 0.174 0.090
Te 0.494 0.494 0.738
Te 0.506 0.506 0.262
Te 0.826 0.826 0.910
Te 0.832 0.832 0.422

raw total energy: -59.3 eV per formula unit
spin magnetization: 0.000 μB per formula unit

***

Entry from the Alexandria database: an optimized crystal structure of Rb2TlPb (PBE).

abc: 14.033 5.668 10.728
angles: 90.00 120.36 90.00
Positions (direct):
Rb 0.000 0.000 0.000
Rb 0.000 0.000 0.499
Rb 0.126 0.500 0.325
Rb 0.374 0.000 0.674
Rb 0.500 0.500 0.000
Rb 0.500 0.500 0.499
Rb 0.626 0.000 0.325
Rb 0.874 0.500 0.674
Tl 0.191 0.500 0.734
Tl 0.310 0.000 0.266
Tl 0.691 0.000 0.734
Tl 0.810 0.500 0.266
Pb 0.202 0.500 0.030
Pb 0.298 0.000 0.968
Pb 0.702 0.000 0.030
Pb 0.798 0.500 0.968

energy of formation from the pure elements: -0.2 eV per formula unit
raw total energy: -8.3 eV per formula unit
spin magnetization: 0.000 μB per formula unit
ΔE to the lowest computed polymorph: 0.0000 eV/atom

***

Entry from the Alexandria database: an optimized crystal structure of Ce2Tl8Pd (PBE).

abc: 4.858 4.858 12.647
angles: 90.00 90.00 90.00
Positions (direct):
Ce 0.000 0.000 0.194
Ce 0.000 0.000 0.806
Tl 0.000 0.500 0.000
Tl 0.000 0.500 0.375
Tl 0.000 0.500 0.625
Tl 0.500 0.000 0.000
Tl 0.500 0.000 0.375
Tl 0.500 0.000 0.625
Tl 0.500 0.500 0.187
Tl 0.500 0.500 0.813
Pd 0.000 0.000 0.500

energy of formation from the pure elements: -2.4 eV per formula unit
raw total energy: -38.4 eV per formula unit
spin magnetization: 1.954 μB per formula unit

***

Entry from the Alexandria database: an optimized crystal structure of La5Sn2Ru (PBE).

abc: 9.673 8.683 6.030
angles: 80.00 62.13 37.87
Positions (direct):
La 0.000 0.000 0.000
La 0.201 0.534 0.466
La 0.466 0.799 0.201
La 0.534 0.201 0.799
La 0.799 0.466 0.534
Sn 0.197 0.197 0.803
Sn 0.803 0.803 0.197
Ru 0.500 0.500 0.500

energy of formation from the pure elements: -3.1 eV per formula unit
raw total energy: -45.0 eV per formula unit
spin magnetization: 0.000 μB per formula unit
ΔE to the lowest computed polymorph: 0.2339 eV/atom

***

Entry from the Alexandria database: an optimized crystal structure of BaLi2As (PBE).

abc: 6.482 6.674 10.619
angles: 90.00 90.00 90.00
Positions (direct):
Ba 0.000 0.000 0.000
Ba 0.000 0.500 0.500
Ba 0.500 0.000 0.500
Ba 0.500 0.500 0.000
Li 0.000 0.250 0.250
Li 0.000 0.250 0.750
Li 0.000 0.750 0.250
Li 0.000 0.750 0.750
Li 0.500 0.250 0.250
Li 0.500 0.250 0.750
Li 0.500 0.750 0.250
Li 0.500 0.750 0.750
As 0.000 0.000 0.500
As 0.000 0.500 0.000
As 0.500 0.000 0.000
As 0.500 0.500 0.500

energy of formation from the pure elements: -1.0 eV per formula unit
raw total energy: -11.4 eV per formula unit
spin magnetization: 0.000 μB per formula unit

***

Entry from the Alexandria database: an optimized crystal structure of BaCa2Os (PBE).

abc: 4.852 4.852 4.888
angles: 90.00 90.00 90.00
Positions (direct):
Ba 0.000 0.000 0.000
Ca 0.000 0.500 0.500
Ca 0.500 0.000 0.500
Os 0.500 0.500 0.000

energy of formation from the pure elements: 2.6 eV per formula unit
raw total energy: -14.5 eV per formula unit
spin magnetization: 0.000 μB per formula unit
ΔE to the lowest computed polymorph: 0.2575 eV/atom

***

Entry from the Alexandria database: an optimized crystal structure of Sm2ZnSi4Au3 (PBE).

abc: 4.204 4.204 10.736
angles: 90.00 90.00 90.00
Positions (direct):
Sm 0.000 0.500 0.242
Sm 0.500 0.000 0.758
Zn 0.500 0.500 0.000
Si 0.000 0.000 0.500
Si 0.000 0.500 0.865
Si 0.500 0.000 0.135
Si 0.500 0.500 0.500
Au 0.000 0.000 0.000
Au 0.000 0.500 0.637
Au 0.500 0.000 0.363

raw total energy: -47.5 eV per formula unit
spin magnetization: 0.000 μB per formula unit

***

Entry from the Alexandria database: an optimized crystal structure of TlCuPb2 (PBE).

abc: 7.545 7.545 7.545
angles: 90.00 90.00 90.00
Positions (direct):
Tl 0.000 0.000 0.000
Tl 0.000 0.500 0.500
Tl 0.500 0.000 0.500
Tl 0.500 0.500 0.000
Cu 0.250 0.250 0.250
Cu 0.250 0.750 0.750
Cu 0.750 0.250 0.750
Cu 0.750 0.750 0.250
Pb 0.000 0.000 0.500
Pb 0.000 0.500 0.000
Pb 0.250 0.250 0.750
Pb 0.250 0.750 0.250
Pb 0.500 0.000 0.000
Pb 0.500 0.500 0.500
Pb 0.750 0.250 0.250
Pb 0.750 0.750 0.750

energy of formation from the pure elements: 1.1 eV per formula unit
raw total energy: -12.8 eV per formula unit
spin magnetization: 0.000 μB per formula unit

***

Entry from the Alexandria database: an optimized crystal structure of SmHoSe (PBE).

abc: 6.897 6.897 7.547
angles: 90.00 90.00 103.93
Positions (direct):
Sm 0.200 0.200 0.000
Sm 0.300 0.300 0.500
Sm 0.700 0.700 0.500
Sm 0.800 0.800 0.000
Ho 0.201 0.799 0.666
Ho 0.299 0.701 0.166
Ho 0.701 0.299 0.834
Ho 0.799 0.201 0.334
Se 0.065 0.935 0.305
Se 0.435 0.565 0.805
Se 0.565 0.435 0.195
Se 0.935 0.065 0.695

raw total energy: -15.7 eV per formula unit
spin magnetization: 0.000 μB per formula unit
ΔE to the lowest computed polymorph: 0.1161 eV/atom

***

Entry from the Alexandria database: an optimized crystal structure of TbPmSn3 (PBE).

abc: 4.373 6.611 9.981
angles: 90.00 90.00 90.00
Positions (direct):
Tb 0.250 0.250 0.045
Tb 0.750 0.750 0.955
Pm 0.250 0.750 0.386
Pm 0.750 0.250 0.614
Sn 0.250 0.250 0.368
Sn 0.250 0.507 0.782
Sn 0.250 0.993 0.782
Sn 0.750 0.007 0.218
Sn 0.750 0.493 0.218
Sn 0.750 0.750 0.632

energy of formation from the pure elements: -2.8 eV per formula unit
raw total energy: -24.2 eV per formula unit
spin magnetization: 0.000 μB per formula unit

***

Entry from the Alexandria database: an optimized crystal structure of K2TcPt (PBE).

abc: 20.498 2.860 4.427
angles: 90.00 102.24 90.00
Positions (direct):
K 0.142 0.000 0.138
K 0.358 0.500 0.862
K 0.642 0.500 0.138
K 0.858 0.000 0.862
Tc 0.000 0.000 0.500
Tc 0.500 0.500 0.500
Pt 0.000 0.500 0.000
Pt 0.500 0.000 0.000

energy of formation from the pure elements: 2.1 eV per formula unit
raw total energy: -16.5 eV per formula unit
spin magnetization: 0.361 μB per formula unit
ΔE to the lowest computed polymorph: 0.0942 eV/atom